Record 1
LuTiBeZn: relaxed, GGA-PBE.

Computed properties:
Total energy (eV/atom): -4.375

a = 4.5839 Å, b = 4.5839 Å, c = 4.5839 Å
α = 60.00°, β = 60.00°, γ = 60.00°
Fractional positions:
Lu1 0.0000 0.0000 0.0000
Ti1 0.5000 0.5000 0.5000
Be1 0.7500 0.7500 0.7500
Zn1 0.2500 0.2500 0.2500



Record 2
TmLuBeTl: relaxed, GGA-PBE.

Computed properties:
Total energy (eV/atom): -3.788

a = 5.0537 Å, b = 5.0537 Å, c = 5.0537 Å
α = 60.00°, β = 60.00°, γ = 60.00°
Fractional positions:
Tm1 0.0000 0.0000 0.0000
Lu1 0.5000 0.5000 0.5000
Be1 0.2500 0.2500 0.2500
Tl1 0.7500 0.7500 0.7500